Crystalline Pr3Ga6Au5 at its relaxed geometry, computed with PBE.

Output
formation enthalpy at 0 K = -0.631 eV per atom
space group = Pmmn (59)

a = 4.5178 Å, b = 9.6235 Å, c = 13.3362 Å
α = 90.00°, β = 90.00°, γ = 90.00°
Closest atoms and distances in Å follow each position.
Sites, in units of the cell vectors:
Pr (0.0000, 0.2509, 0.6964)  8 Ga 3.18-3.50, 7 Au 3.24-3.47
Pr (0.5000, 0.7491, 0.1964)  8 Ga 3.18-3.50, 7 Au 3.24-3.47
Pr (0.5000, 0.7491, 0.8036)  8 Ga 3.18-3.50, 7 Au 3.24-3.47
Pr (0.0000, 0.2458, 0.0000)  6 Au 3.22-3.30, 6 Ga 3.30-3.44
Pr (0.5000, 0.7542, 0.5000)  6 Au 3.22-3.30, 6 Ga 3.30-3.44
Pr (0.0000, 0.2509, 0.3036)  8 Ga 3.18-3.50, 7 Au 3.24-3.47
Ga (0.0000, 0.9736, 0.8492)  4 Au 2.65-2.78
Ga (0.5000, 0.0264, 0.6508)  4 Au 2.65-2.78
Ga (0.5000, 0.3875, 0.8343)  4 Au 2.60-2.79, 1 Ga 2.71
Ga (0.5000, 0.5497, 0.0000)  2 Ga 2.71, 4 Au 2.90
Ga (0.0000, 0.4503, 0.5000)  2 Ga 2.71, 4 Au 2.90
Ga (0.0000, 0.6125, 0.6657)  4 Au 2.60-2.79, 1 Ga 2.71
Ga (0.0000, 0.6125, 0.3343)  4 Au 2.60-2.79, 1 Ga 2.71
Ga (0.5000, 0.9467, 0.0000)  4 Au 2.64-2.80
Ga (0.0000, 0.9736, 0.1508)  4 Au 2.65-2.78
Ga (0.5000, 0.3875, 0.1657)  4 Au 2.60-2.79, 1 Ga 2.71
Ga (0.0000, 0.0533, 0.5000)  4 Au 2.64-2.80
Ga (0.5000, 0.0264, 0.3492)  4 Au 2.65-2.78
Au (0.0000, 0.5237, 0.8652)  5 Ga 2.64-2.90
Au (0.0000, 0.8824, 0.6545)  5 Ga 2.60-2.74
Au (0.0000, 0.7747, 0.0000)  4 Ga 2.78-2.80, 2 Au 3.01
Au (0.5000, 0.4763, 0.6348)  5 Ga 2.64-2.90
Au (0.5000, 0.2253, 0.5000)  4 Ga 2.78-2.80, 2 Au 3.01
Au (0.0000, 0.5237, 0.1348)  5 Ga 2.64-2.90
Au (0.5000, 0.4763, 0.3652)  5 Ga 2.64-2.90
Au (0.0000, 0.8824, 0.3455)  5 Ga 2.60-2.74
Au (0.5000, 0.1176, 0.8455)  5 Ga 2.60-2.74
Au (0.5000, 0.1176, 0.1545)  5 Ga 2.60-2.74